1.
VASP calculation (PBE) on a relaxed YHo4Er10 crystal.

Cell: 12.0584 12.0584 7.6153 Å, 90.00 90.00 90.00°
Space group I4/m (No. 87)
Asymmetric unit:
Y 0.0000 0.0000 0.0000 (multiplicity 2)
Ho 0.1002 0.2999 0.5000 (multiplicity 8)
Er 0.0000 0.5000 0.2500 (multiplicity 4)
Er 0.1002 0.7988 0.2512 (multiplicity 16)

Calculated values
Calculated formation energy ... 0.7357 eV/atom

---

2.
VASP calculation (PBE) on a relaxed La2Si3NiPt4 crystal.

Cell: 4.3037 4.3037 9.9545 Å, 90.00 90.00 90.00°
Space group P-4m2 (No. 115)
Asymmetric unit:
La 0.0000 0.5000 0.2381 (multiplicity 2)
Si 0.0000 0.0000 0.0000 (multiplicity 1)
Si 0.0000 0.5000 0.6275 (multiplicity 2)
Ni 0.5000 0.5000 0.0000 (multiplicity 1)
Pt 0.0000 0.0000 0.5000 (multiplicity 1)
Pt 0.0000 0.5000 0.8689 (multiplicity 2)
Pt 0.5000 0.5000 0.5000 (multiplicity 1)

Calculated values
Uncorrected formation energy ... -973 kJ/mol of formula units

---

3.
VASP calculation (PBE) on a relaxed SmGaCu3 crystal.

Cell: 4.3690 4.3690 20.3603 Å, 90.00 90.00 90.00°
Space group I-4m2 (No. 119)
Asymmetric unit:
Sm 0.0000 0.0000 0.0000 (multiplicity 2)
Sm 0.0000 0.5000 0.2500 (multiplicity 2)
Ga 0.0000 0.0000 0.4097 (multiplicity 4)
Cu 0.0000 0.2488 0.1258 (multiplicity 8)
Cu 0.0000 0.5000 0.6764 (multiplicity 4)

Calculated values
Calculated formation energy ... 0.0828 eV/atom
Energy relative to the lowest polymorph listed for this composition ... 295.4 meV/atom

---

4.
VASP calculation (PBE) on a relaxed KYTlFe2 crystal.

Cell: 5.0379 5.0379 6.2008 Å, 90.00 90.00 90.00°
Space group P4/mmm (No. 123)
Asymmetric unit:
K 0.0000 0.0000 0.0000 (multiplicity 1)
Y 0.0000 0.0000 0.5000 (multiplicity 1)
Tl 0.5000 0.5000 0.0000 (multiplicity 1)
Fe 0.0000 0.5000 0.5000 (multiplicity 2)

Calculated values
Calculated formation energy ... 1.3545 eV/atom

---

| no. | spin magnetization (μB per formula unit) |
| --- | --- |
| 1 | 0.00 |
| 2 | 0.00 |
| 3 | 0.00 |
| 4 | 4.83 |